No. 1
The following is a DFT calculation (GGA-PBE) of an optimized crystal structure of Cs3SI.

- ΔE_f (raw) (meV per atom) = -1217
- crystal system = orthorhombic
- ΔE to the lowest computed polymorph (meV/atom) = 0
- total magnetization (Bohr magnetons per cell) = 0.20
- symmetry = No. 62

Structure (POSCAR):
```
Cs3SI
1.0
5.354 0.000 0.000
0.000 9.358 0.000
0.000 0.000 20.733
Cs S I
12 4 4
Direct
0.250 0.369 0.544
0.750 0.839 0.196
0.750 0.484 0.915
0.750 0.984 0.585
0.750 0.631 0.456
0.250 0.016 0.415
0.250 0.869 0.956
0.750 0.339 0.304
0.250 0.661 0.696
0.250 0.161 0.804
0.750 0.131 0.044
0.250 0.516 0.085
0.250 0.265 0.958
0.250 0.765 0.542
0.750 0.235 0.458
0.750 0.735 0.042
0.750 0.853 0.801
0.250 0.147 0.199
0.750 0.353 0.699
0.250 0.647 0.301
```

No. 2
The following is a DFT calculation (GGA-PBE) of an optimized crystal structure of LuTiBi.

- calculated formation energy (eV per atom) = -0.01
- crystal system = hexagonal
- total magnetization (Bohr magnetons per cell) = 2.05
- symmetry = No. 187

Structure (POSCAR):
```
LuTiBi
1.0
-1.235 2.924 1.481
-4.615 -1.815 -0.265
2.781 -0.863 4.023
Lu Bi Ti
1 1 1
Direct
0.000 0.000 0.000
0.501 0.667 0.333
0.499 0.333 0.667
```

No. 3
The following is a DFT calculation (GGA-PBE) of an optimized crystal structure of NbGaCuOs.

- calculated formation energy (eV per atom) = -0.09
- crystal system = cubic
- total magnetization (Bohr magnetons per cell) = 0.00
- symmetry = No. 216

Structure (POSCAR):
```
NbGaCuOs
1.0
4.395 0.000 0.000
2.197 3.806 0.000
2.197 1.269 3.588
Nb Os Cu Ga
1 1 1 1
Direct
0.000 0.000 0.000
0.750 0.750 0.750
0.250 0.250 0.250
0.500 0.500 0.500
```